1.
This record from Alexandria describes crystalline K2HgCl at its relaxed geometry. The functional is PBE-GGA.

## Properties
Volume, Å³/f.u.: 173.7
Offset from the most stable computed form, meV per atom: 92.4
ΔE_f (raw), eV per atom: -0.9081
DOS(E_F), states/eV/f.u.: 3.07

```
K2HgCl
1.0
-4.413 4.413 4.459
4.413 -4.413 4.459
4.413 4.413 -4.459
K Hg Cl
4 2 2
Direct
0.071 0.125 0.446
0.375 0.929 0.054
0.679 0.625 0.554
0.875 0.321 0.946
0.250 0.750 0.500
0.500 0.500 0.000
0.000 0.000 0.000
0.750 0.250 0.500
```

2.
This record from Alexandria describes crystalline K2HgCl at its relaxed geometry. The functional is PBE-GGA.

## Properties
Volume, Å³/f.u.: 156.7
Offset from the most stable computed form, meV per atom: 153.5
ΔE_f (raw), eV per atom: -0.8469
DOS(E_F), states/eV/f.u.: 2.05

```
K2HgCl
1.0
-2.352 2.352 7.077
2.352 -2.352 7.077
2.352 2.352 -7.077
K Hg Cl
2 1 1
Direct
0.000 0.000 0.000
0.750 0.250 0.500
0.500 0.500 0.000
0.250 0.750 0.500
```

Question: Which formula does entry 2 have?
Answer: K2HgCl